This record from Alexandria via LeMat-Bulk describes a relaxed structure of Li3Tl4Pd. The functional is PBE-GGA.

abc: 3.528 3.528 13.270
angles: 90.00 90.00 90.00
Atoms (fractional coordinates):
Li1 0.000 0.000 0.000
Li2 0.000 0.000 0.261
Li3 0.000 0.000 0.739
Tl1 0.500 0.500 0.128
Tl2 0.500 0.500 0.380
Tl3 0.500 0.500 0.620
Tl4 0.500 0.500 0.872
Pd1 0.000 0.000 0.500

## Properties
As for the total energy: -2.765 eV/atom. The space-group type is P4/mmm (123). The value obtained for the density of states at the Fermi level is 2.85 states/eV per cell. The value obtained for the total moment is 0.00 μB/cell. For the formation enthalpy at 0 K, the calculation gives -0.215 eV/atom.